The following is a PBE calculation of OsPb2AuO after structural relaxation, from Alexandria.

Lattice parameters (Å, degrees): 4.9891 4.1353 4.9891 90.00 90.00 90.00
Element x y z (fractional)
Pb 0.0000 0.0000 0.5000
Pb 0.5000 0.0000 0.0000
Os 0.5000 0.5000 0.5000
Au 0.0000 0.5000 0.0000
O 0.0000 0.0000 0.0000

electronic total energy	-4.694	eV/atom
density of states at the Fermi level	3.5	states/eV/cell
symmetry	P4/mmm, No. 123
formation energy (no corrections)	0.682	eV per atom
magnetization	1.06	μB/cell

The following is a PBE calculation of Ca2CuRu after structural relaxation, from Alexandria.

Lattice parameters (Å, degrees): 7.6423 7.6423 6.1610 51.67 51.67 90.00
Element x y z (fractional)
Ru 0.0000 0.0000 0.0000
Ru 0.7500 0.2500 0.5000
Ca 0.6259 0.1250 0.2500
Ca 0.1241 0.6250 0.2500
Ca 0.3750 0.3741 0.7500
Ca 0.8750 0.8759 0.7500
Cu 0.5000 0.5000 0.0000
Cu 0.2500 0.7500 0.5000

DFT formation energy	0.48	eV/atom
electronic total energy	-3.861	eV/atom
density of states at the Fermi level	7.5	states/eV/cell
symmetry	I-42d, No. 122
magnetization	0.00	μB/cell

The following is a PBE calculation of Pm5Pr2DyHo after structural relaxation, from Alexandria.

Lattice parameters (Å, degrees): 8.6653 8.6653 10.2812 114.92 114.92 90.00
Element x y z (fractional)
Pm 0.9268 0.4268 0.2861
Pm 0.6408 0.1408 0.7139
Pm 0.0732 0.5732 0.7139
Pm 0.1408 0.0732 0.7139
Pm 0.5732 0.6408 0.7139
Pm 0.8592 0.9268 0.2861
Pm 0.4268 0.3592 0.2861
Pm 0.3592 0.8592 0.2861
Pm 0.5000 0.5000 0.0000
Pm 0.0000 0.0000 0.0000
Pr 0.1210 0.3790 0.0000
Pr 0.6210 0.1210 0.0000
Pr 0.3790 0.8790 0.0000
Pr 0.8790 0.6210 0.0000
Dy 0.2500 0.2500 0.5000
Dy 0.7500 0.7500 0.5000
Ho 0.2500 0.7500 0.5000
Ho 0.7500 0.2500 0.5000

DFT formation energy	0.27	eV/atom
electronic total energy	-4.451	eV/atom
density of states at the Fermi level	27.0	states/eV/cell
symmetry	I4/mcm, No. 140
magnetization	0.00	μB/cell

The following is a PBE calculation of Zr5Cd2In after structural relaxation, from Alexandria.

Lattice parameters (Å, degrees): 7.6900 7.6900 8.2553 117.76 117.76 90.00
Element x y z (fractional)
Zr 0.4928 0.6841 0.6768
Zr 0.8159 0.0072 0.3232
Zr 0.0000 0.0000 0.0000
Zr 0.5000 0.5000 0.0000
Zr 0.1841 0.9928 0.6768
Zr 0.6841 0.1841 0.6768
Zr 0.9928 0.4928 0.6768
Zr 0.3159 0.8159 0.3232
Zr 0.0072 0.5072 0.3232
Zr 0.5072 0.3159 0.3232
Cd 0.1394 0.3606 0.0000
Cd 0.6394 0.1394 0.0000
Cd 0.3606 0.8606 0.0000
Cd 0.8606 0.6394 0.0000
In 0.7500 0.7500 0.5000
In 0.2500 0.2500 0.5000

DFT formation energy	-0.02	eV/atom
electronic total energy	-5.930	eV/atom
density of states at the Fermi level	18.7	states/eV/cell
symmetry	I4/mcm, No. 140
magnetization	6.16	μB/cell

The following is a PBE calculation of SrTh3Se6 after structural relaxation, from Alexandria.

Lattice parameters (Å, degrees): 4.2960 11.8817 12.0790 106.22 90.00 90.00
Element x y z (fractional)
Sr 0.7500 0.0442 0.6912
Sr 0.2500 0.9558 0.3088
Th 0.7500 0.4194 0.8425
Th 0.2500 0.5806 0.1575
Th 0.7500 0.6853 0.5050
Th 0.2500 0.3147 0.4950
Th 0.7500 0.1557 0.0717
Th 0.2500 0.8443 0.9283
Se 0.7500 0.4789 0.6161
Se 0.2500 0.5211 0.3839
Se 0.7500 0.9187 0.1008
Se 0.2500 0.0813 0.8992
Se 0.7500 0.4055 0.0856
Se 0.2500 0.5945 0.9144
Se 0.7500 0.7386 0.2753
Se 0.2500 0.2614 0.7247
Se 0.7500 0.1347 0.4639
Se 0.2500 0.8653 0.5361
Se 0.7500 0.7955 0.7579
Se 0.2500 0.2045 0.2421

electronic total energy	-6.190	eV/atom
density of states at the Fermi level	8.7	states/eV/cell
symmetry	P2_1/m, No. 11
formation energy (no corrections)	-1.705	eV per atom
magnetization	0.00	μB/cell

The following is a PBE calculation of La3Mg2Sn4 after structural relaxation, from Alexandria.

Lattice parameters (Å, degrees): 4.7066 6.7006 9.5239 110.82 90.00 110.56
Element x y z (fractional)
La 0.6231 0.2462 0.6889
La 0.0000 0.0000 0.0000
La 0.3769 0.7538 0.3111
Mg 0.6888 0.3776 0.3550
Mg 0.3112 0.6224 0.6450
Sn 0.7094 0.4187 0.0633
Sn 0.2906 0.5813 0.9367
Sn 0.9206 0.8411 0.6084
Sn 0.0794 0.1589 0.3916

DFT formation energy	-0.64	eV/atom
electronic total energy	-4.414	eV/atom
density of states at the Fermi level	5.2	states/eV/cell
symmetry	C2/m, No. 12
magnetization	0.00	μB/cell

The following is a PBE calculation of AcTlInPd after structural relaxation, from Alexandria.

Lattice parameters (Å, degrees): 5.3092 5.3092 5.3092 60.00 60.00 60.00
Element x y z (fractional)
Ac 0.7500 0.7500 0.7500
Tl 0.5000 0.5000 0.5000
Pd 0.0000 0.0000 0.0000
In 0.2500 0.2500 0.2500

DFT formation energy	-0.41	eV/atom
electronic total energy	-4.013	eV/atom
density of states at the Fermi level	2.5	states/eV/cell
symmetry	F-43m, No. 216
magnetization	0.00	μB/cell

The following is a PBE calculation of AcPmBeAg after structural relaxation, from Alexandria.

Lattice parameters (Å, degrees): 5.3324 5.3324 5.3324 60.00 60.00 60.00
Element x y z (fractional)
Be 0.5000 0.5000 0.5000
Ac 0.7500 0.7500 0.7500
Ag 0.0000 0.0000 0.0000
Pm 0.2500 0.2500 0.2500

DFT formation energy	0.06	eV/atom
electronic total energy	-3.795	eV/atom
density of states at the Fermi level	3.5	states/eV/cell
symmetry	F-43m, No. 216
magnetization	0.00	μB/cell

The following is a PBE calculation of Zn2TcSe after structural relaxation, from Alexandria.

Lattice parameters (Å, degrees): 5.5218 5.5218 3.1070 72.96 72.96 121.36
Element x y z (fractional)
Se 0.5000 0.0000 0.5000
Tc 0.0000 0.5000 0.5000
Zn 0.0000 0.0000 0.0000
Zn 0.5000 0.5000 0.0000

electronic total energy	-3.822	eV/atom
density of states at the Fermi level	2.7	states/eV/cell
symmetry	C2/m, No. 12
formation energy (no corrections)	0.278	eV per atom
magnetization	1.27	μB/cell

The following is a PBE calculation of Ce5Si2Te after structural relaxation, from Alexandria.

Lattice parameters (Å, degrees): 7.8122 7.8122 8.7523 116.51 116.51 90.00
Element x y z (fractional)
Ce 0.4924 0.7254 0.7177
Ce 0.7746 0.0076 0.2823
Ce 0.0000 0.0000 0.0000
Ce 0.5000 0.5000 0.0000
Ce 0.2254 0.9924 0.7177
Ce 0.7254 0.2254 0.7177
Ce 0.9924 0.4924 0.7177
Ce 0.2746 0.7746 0.2823
Ce 0.0076 0.5076 0.2823
Ce 0.5076 0.2746 0.2823
Si 0.1614 0.3386 0.0000
Si 0.6614 0.1614 0.0000
Si 0.3386 0.8386 0.0000
Si 0.8386 0.6614 0.0000
Te 0.7500 0.7500 0.5000
Te 0.2500 0.2500 0.5000

electronic total energy	-6.137	eV/atom
density of states at the Fermi level	43.2	states/eV/cell
symmetry	I4/mcm, No. 140
formation energy (no corrections)	-0.680	eV per atom
magnetization	6.36	μB/cell

The following is a PBE calculation of LaCeSe2 after structural relaxation, from Alexandria.

Lattice parameters (Å, degrees): 4.1541 4.1543 7.5696 90.00 90.00 120.00
Element x y z (fractional)
La 0.0000 0.5000 0.5000
Ce 0.0000 0.5000 0.0000
Se 0.6667 0.8334 0.7553
Se 0.3333 0.1666 0.2447

electronic total energy	-6.214	eV/atom
density of states at the Fermi level	7.0	states/eV/cell
symmetry	P-3m1, No. 164
formation energy (no corrections)	-1.757	eV per atom
magnetization	1.42	μB/cell

The following is a PBE calculation of MgSi2P after structural relaxation, from Alexandria.

Lattice parameters (Å, degrees): 5.4449 5.4449 3.7012 70.83 70.83 123.50
Element x y z (fractional)
Mg 0.5000 0.0000 0.5000
P 0.0000 0.5000 0.5000
Si 0.0000 0.0000 0.0000
Si 0.5000 0.5000 0.0000

electronic total energy	-4.392	eV/atom
density of states at the Fermi level	0.9	states/eV/cell
symmetry	C2/m, No. 12
formation energy (no corrections)	0.071	eV per atom
magnetization	0.00	μB/cell